(1)
A plane-wave DFT calculation with PBE-GGA was carried out for a relaxed structure of HfSiGeS2.

Total DFT energy (no corrections) = -5.146 eV/atom
E_form (uncorrected) = 0.50 eV per atom
Density = 5.63 g/cm3
Spin magnetization = 0.00 μB per atom
Symmetry = No. 123

a = 4.652 Å, b = 4.678 Å, c = 4.652 Å
α = 90.00°, β = 90.00°, γ = 90.00°
Positions (direct):
Si 0.000 0.500 0.000
Ge 0.000 0.000 0.000
Hf 0.500 0.500 0.500
S 0.000 0.000 0.500
S 0.500 0.000 0.000

***

(2)
A plane-wave DFT calculation with PBE-GGA was carried out for a relaxed structure of HfGe2Sb.

Total DFT energy (no corrections) = -5.495 eV/atom
E_form (uncorrected) = 0.33 eV per atom
Density = 6.13 g/cm3
Spin magnetization = 0.00 μB per atom
Symmetry = No. 122

a = 6.230 Å, b = 6.230 Å, c = 7.622 Å
α = 65.88°, β = 65.88°, γ = 90.00°
Positions (direct):
Sb 0.500 0.500 0.000
Sb 0.250 0.750 0.500
Ge 0.635 0.125 0.250
Ge 0.115 0.625 0.250
Ge 0.375 0.365 0.750
Ge 0.875 0.885 0.750
Hf 0.000 0.000 0.000
Hf 0.750 0.250 0.500

***

(3)
A plane-wave DFT calculation with PBE-GGA was carried out for a relaxed structure of HfGe3Sb.

Total DFT energy (no corrections) = -5.042 eV/atom
E_form (uncorrected) = 0.54 eV per atom
Density = 6.17 g/cm3
Spin magnetization = 0.00 μB per atom
Symmetry = No. 221
Distance to the lowest polymorph of the same formula = 0 meV per atom

a = 5.185 Å, b = 5.185 Å, c = 5.185 Å
α = 90.00°, β = 90.00°, γ = 90.00°
Positions (direct):
Sb 0.500 0.500 0.500
Ge 0.000 0.500 0.000
Ge 0.000 0.000 0.500
Ge 0.500 0.000 0.000
Hf 0.000 0.000 0.000